{
  "formula": "Ca2HgBr",
  "functional": "PBE-GGA",
  "state": "relaxed",
  "crystal_system": "monoclinic",
  "raw_formation_energy_mev_per_atom": -832,
  "lattice": [[-3.507, -5.330, 1.000], [-2.197, -4.238, 4.350], [-4.200, 2.896, 0.699]],
  "species": ["Ca", "Ca", "Hg", "Br"],
  "fractional_positions": [[0.010, 0.010, 0.126], [0.753, 0.753, 0.625], [0.487, 0.487, 0.625], [0.250, 0.250, 0.124]]
}

***

{
  "formula": "La4PmDy3",
  "functional": "PBE-GGA",
  "state": "relaxed",
  "crystal_system": "orthorhombic",
  "formation_enthalpy_0k_ev_per_fu": 0.27,
  "lattice": [[6.411, 0.000, 0.000], [0.000, 7.382, 0.000], [0.000, 0.000, 11.767]],
  "species": ["La", "La", "La", "La", "La", "La", "La", "La", "Pm", "Pm", "Dy", "Dy", "Dy", "Dy", "Dy", "Dy"],
  "fractional_positions": [[0.143, 0.873, 0.000], [0.659, 0.130, 0.000], [0.978, 0.125, 0.256], [0.478, 0.875, 0.244], [0.159, 0.870, 0.500], [0.643, 0.127, 0.500], [0.478, 0.875, 0.756], [0.978, 0.125, 0.744], [0.151, 0.375, 0.000], [0.651, 0.625, 0.500], [0.648, 0.619, 0.000], [0.979, 0.620, 0.250], [0.479, 0.380, 0.250], [0.148, 0.381, 0.500], [0.479, 0.380, 0.750], [0.979, 0.620, 0.750]]
}

***

{
  "formula": "Ac2PmNdP4",
  "functional": "PBE-GGA",
  "state": "relaxed",
  "crystal_system": "monoclinic",
  "formation_enthalpy_0k_ev_per_fu": -11.89,
  "lattice": [[4.299, 0.000, 0.000], [0.000, 7.458, -0.156], [0.000, 2.616, 6.965]],
  "species": ["Ac", "Ac", "Pm", "Nd", "P", "P", "P", "P"],
  "fractional_positions": [[0.000, 0.000, 0.000], [0.500, 0.000, 0.500], [0.000, 0.500, 0.500], [0.500, 0.500, 0.000], [0.000, 0.735, 0.754], [0.000, 0.265, 0.246], [0.500, 0.735, 0.256], [0.500, 0.265, 0.744]]
}

***

{
  "formula": "LaTbPm2Nd5",
  "functional": "PBE-GGA",
  "state": "relaxed",
  "crystal_system": "tetragonal",
  "formation_enthalpy_0k_ev_per_fu": 2.35,
  "lattice": [[8.988, 0.000, 0.000], [0.000, 8.988, 0.000], [-4.494, -4.494, 7.889]],
  "species": ["La", "La", "Tb", "Tb", "Pm", "Pm", "Pm", "Pm", "Nd", "Nd", "Nd", "Nd", "Nd", "Nd", "Nd", "Nd", "Nd", "Nd"],
  "fractional_positions": [[0.250, 0.250, 0.500], [0.750, 0.750, 0.500], [0.250, 0.750, 0.500], [0.750, 0.250, 0.500], [0.116, 0.384, 0.000], [0.616, 0.116, 0.000], [0.384, 0.884, 0.000], [0.884, 0.616, 0.000], [0.930, 0.430, 0.273], [0.656, 0.156, 0.727], [0.070, 0.570, 0.727], [0.156, 0.070, 0.727], [0.570, 0.656, 0.727], [0.844, 0.930, 0.273], [0.430, 0.344, 0.273], [0.344, 0.844, 0.273], [0.500, 0.500, 0.000], [0.000, 0.000, 0.000]]
}

***

{
  "formula": "PPb2W",
  "functional": "PBE-GGA",
  "state": "relaxed",
  "crystal_system": "orthorhombic",
  "formation_enthalpy_0k_ev_per_fu": 1.82,
  "lattice": [[1.763, -2.631, 0.000], [1.763, 2.631, 0.000], [0.000, 0.000, 10.120]],
  "species": ["P", "Pb", "Pb", "W"],
  "fractional_positions": [[0.500, 0.500, 0.307], [0.000, 0.000, 0.027], [0.500, 0.500, 0.705], [0.000, 0.000, 0.461]]
}

***

{
  "formula": "Pr6C2N",
  "functional": "PBE-GGA",
  "state": "relaxed",
  "crystal_system": "monoclinic",
  "raw_formation_energy_mev_per_atom": -331,
  "lattice": [[-2.787, -2.313, -0.787], [2.403, -4.811, 5.627], [-4.248, 6.805, 3.775]],
  "species": ["Pr", "Pr", "Pr", "Pr", "Pr", "Pr", "C", "C", "N"],
  "fractional_positions": [[0.346, 0.904, 0.692], [0.009, 0.231, 0.018], [0.676, 0.569, 0.353], [0.991, 0.769, 0.982], [0.654, 0.096, 0.308], [0.324, 0.431, 0.647], [0.835, 0.670, 0.671], [0.165, 0.330, 0.329], [0.500, 0.000, 0.000]]
}

***

{
  "formula": "ZrTl2Os",
  "functional": "PBE-GGA",
  "state": "relaxed",
  "crystal_system": "monoclinic",
  "formation_enthalpy_0k_ev_per_fu": 1.49,
  "lattice": [[-2.395, -4.837, -3.575], [0.644, -4.459, -4.650], [1.180, -4.319, 1.816]],
  "species": ["Os", "Tl", "Tl", "Zr"],
  "fractional_positions": [[0.229, 0.229, 0.272], [0.961, 0.961, 0.038], [0.757, 0.757, 0.744], [0.554, 0.554, 0.446]]
}

***

{
  "formula": "LaTl6Pd12",
  "functional": "PBE-GGA",
  "state": "relaxed",
  "crystal_system": "trigonal",
  "formation_enthalpy_0k_ev_per_fu": -3.20,
  "lattice": [[7.653, -0.068, -0.096], [-1.963, 7.397, -0.096], [-1.963, -2.529, 6.952]],
  "species": ["La", "Tl", "Tl", "Tl", "Tl", "Tl", "Tl", "Pd", "Pd", "Pd", "Pd", "Pd", "Pd", "Pd", "Pd", "Pd", "Pd", "Pd", "Pd"],
  "fractional_positions": [[0.000, 0.000, 0.000], [0.699, 0.286, 0.286], [0.286, 0.286, 0.699], [0.286, 0.699, 0.286], [0.714, 0.714, 0.301], [0.301, 0.714, 0.714], [0.714, 0.301, 0.714], [0.887, 0.113, 0.500], [0.885, 0.647, 0.647], [0.647, 0.647, 0.885], [0.353, 0.115, 0.353], [0.353, 0.353, 0.115], [0.115, 0.353, 0.353], [0.113, 0.500, 0.887], [0.500, 0.887, 0.113], [0.113, 0.887, 0.500], [0.887, 0.500, 0.113], [0.500, 0.113, 0.887], [0.647, 0.885, 0.647]]
}

***

In order of appearance, electronic total energy = -9.306 -75.999 -51.265 -81.087 -23.961 -58.432 -23.020 -84.635 eV per cell.